1.
A plane-wave DFT calculation with PBE-GGA was carried out for AcPr7Mg4 after structural relaxation.

abc: 6.084 10.132 7.656
angles: 81.16 66.59 72.53
Fractional coordinates of all 12 atoms:
Mg (0.685, 0.667, 0.964)
Mg (0.435, 0.780, 0.350)
Pr (0.058, 0.622, 0.261)
Mg (0.565, 0.220, 0.650)
Pr (0.679, 0.385, 0.256)
Pr (0.500, 0.000, 0.000)
Pr (0.942, 0.378, 0.739)
Pr (0.218, 0.123, 0.440)
Ac (0.000, 0.000, 0.000)
Mg (0.315, 0.333, 0.036)
Pr (0.782, 0.877, 0.560)
Pr (0.321, 0.615, 0.744)

Properties
theoretical density = 5.27 Mg/m³
energy relative to the elements = 178 meV per atom

2.
A plane-wave DFT calculation with PBE-GGA was carried out for CoSbMo2 after structural relaxation.

abc: 4.543 4.543 3.081
angles: 90.00 90.00 90.00
Fractional coordinates of all 4 atoms:
Mo (0.500, 0.500, 0.000)
Mo (0.000, 0.000, 0.000)
Sb (0.500, 0.000, 0.500)
Co (0.000, 0.500, 0.500)

Properties
theoretical density = 9.73 Mg/m³
ΔE_f (raw) = 1.6 eV/f.u.

3.
A plane-wave DFT calculation with PBE-GGA was carried out for HfP2SO after structural relaxation.

abc: 4.539 4.539 3.618
angles: 90.00 90.00 90.00
Fractional coordinates of all 5 atoms:
P (0.000, 0.500, 0.000)
S (0.000, 0.000, 0.000)
P (0.500, 0.000, 0.000)
Hf (0.500, 0.500, 0.500)
O (0.000, 0.000, 0.500)

Properties
theoretical density = 6.43 Mg/m³
polymorph energy (0 for the lowest one) = 166 meV/atom
ΔE_f (raw) = -0.1 eV/f.u.

4.
A plane-wave DFT calculation with PBE-GGA was carried out for CaAcLaTb after structural relaxation.

abc: 3.817 3.817 10.665
angles: 90.00 90.00 89.99
Fractional coordinates of all 4 atoms:
La (0.646, 0.354, 0.455)
Tb (0.146, 0.854, 0.235)
Ac (0.146, 0.854, 0.710)
Ca (0.646, 0.354, 0.989)

Properties
theoretical density = 6.04 Mg/m³
polymorph energy (0 for the lowest one) = 0 meV/atom
energy relative to the elements = 56 meV per atom

5.
A plane-wave DFT calculation with PBE-GGA was carried out for AgSb2H2 after structural relaxation.

abc: 7.223 7.223 3.991
angles: 90.00 90.00 90.00
Fractional coordinates of all 10 atoms:
H (0.363, 0.137, 0.500)
Sb (0.357, 0.143, 0.000)
Sb (0.143, 0.643, 0.000)
Ag (0.000, 0.000, 0.000)
Ag (0.500, 0.500, 0.000)
H (0.637, 0.863, 0.500)
H (0.137, 0.637, 0.500)
Sb (0.643, 0.857, 0.000)
H (0.863, 0.363, 0.500)
Sb (0.857, 0.357, 0.000)

Properties
theoretical density = 5.64 Mg/m³
polymorph energy (0 for the lowest one) = 0 meV/atom

6.
A plane-wave DFT calculation with PBE-GGA was carried out for PuMg4Ga5 after structural relaxation.

abc: 3.479 3.479 16.420
angles: 90.00 90.00 90.00
Fractional coordinates of all 10 atoms:
Mg (0.000, 0.000, 0.403)
Pu (0.000, 0.000, 0.000)
Ga (0.500, 0.500, 0.694)
Ga (0.500, 0.500, 0.306)
Ga (0.500, 0.500, 0.500)
Mg (0.000, 0.000, 0.790)
Mg (0.000, 0.000, 0.597)
Ga (0.500, 0.500, 0.883)
Mg (0.000, 0.000, 0.210)
Ga (0.500, 0.500, 0.117)

Properties
theoretical density = 5.76 Mg/m³
energy relative to the elements = -177 meV per atom

7.
A plane-wave DFT calculation with PBE-GGA was carried out for AcAs2Pb after structural relaxation.

abc: 4.515 4.515 7.509
angles: 72.50 72.50 60.00
Fractional coordinates of all 4 atoms:
Ac (0.500, 0.500, 0.500)
As (0.750, 0.750, 0.750)
As (0.250, 0.250, 0.250)
Pb (0.000, 0.000, 0.000)

Properties
theoretical density = 7.80 Mg/m³
polymorph energy (0 for the lowest one) = 28 meV/atom
energy relative to the elements = -582 meV per atom

8.
A plane-wave DFT calculation with PBE-GGA was carried out for Dy3ErMg4 after structural relaxation.

abc: 3.780 3.780 15.140
angles: 90.00 90.00 90.00
Fractional coordinates of all 8 atoms:
Mg (0.000, 0.000, 0.625)
Mg (0.000, 0.000, 0.876)
Mg (0.000, 0.000, 0.124)
Dy (0.500, 0.500, 0.249)
Dy (0.500, 0.500, 0.500)
Mg (0.000, 0.000, 0.375)
Er (0.500, 0.500, 0.000)
Dy (0.500, 0.500, 0.751)

Properties
theoretical density = 5.77 Mg/m³
energy relative to the elements = -78 meV per atom

9.
A plane-wave DFT calculation with PBE-GGA was carried out for MgNi after structural relaxation.

abc: 2.852 2.852 8.621
angles: 90.00 90.00 120.00
Fractional coordinates of all 4 atoms:
Mg (0.000, 0.000, 0.965)
Ni (0.667, 0.333, 0.732)
Mg (0.667, 0.333, 0.285)
Ni (0.000, 0.000, 0.518)

Properties
theoretical density = 4.54 Mg/m³
energy relative to the elements = 142 meV per atom

10.
A plane-wave DFT calculation with PBE-GGA was carried out for Ac4SbPSe2 after structural relaxation.

abc: 4.553 7.843 7.939
angles: 70.50 90.00 90.00
Fractional coordinates of all 8 atoms:
Ac (0.500, 0.740, 0.266)
Sb (0.500, 0.500, 0.000)
Ac (0.000, 0.749, 0.736)
Ac (0.500, 0.260, 0.734)
P (0.000, 0.500, 0.500)
Se (0.500, 0.000, 0.500)
Se (0.000, 0.000, 0.000)
Ac (0.000, 0.251, 0.264)

Properties
theoretical density = 7.57 Mg/m³
ΔE_f (raw) = -13.0 eV/f.u.

Total energy per entry: -3.4842; -7.8178; -5.9943; -3.8607; -3.2850; -3.7617; -4.8613; -3.1710; -3.5462; -5.7475 eV per atom